VASP calculation (PBE) on a geometry-optimized LaIrW2 structure. Values from VASP.

```
&SYSTEM
  ibrav = 0, nat = 16, ntyp = 3
/
ATOMIC_SPECIES
La 138.91 La.upf
Ir 192.22 Ir.upf
W 183.84 W.upf
ATOMIC_POSITIONS crystal
La 0.0000 0.0000 0.0000
La 0.0000 0.5000 0.5000
La 0.5000 0.0000 0.5000
La 0.5000 0.5000 0.0000
Ir 0.0000 0.0000 0.5000
Ir 0.0000 0.5000 0.0000
Ir 0.5000 0.0000 0.0000
Ir 0.5000 0.5000 0.5000
W 0.2500 0.2500 0.2500
W 0.2500 0.2500 0.7500
W 0.2500 0.7500 0.2500
W 0.2500 0.7500 0.7500
W 0.7500 0.2500 0.2500
W 0.7500 0.2500 0.7500
W 0.7500 0.7500 0.2500
W 0.7500 0.7500 0.7500
CELL_PARAMETERS angstrom
6.5915 0.0000 0.0000
0.0000 6.5915 0.0000
0.0000 0.0000 6.5915
```

Relative energy among the computed polymorphs ... 411 meV/atom

***

VASP calculation (PBE) on a geometry-optimized Pr3Ho3Mg structure. Values from VASP.

```
&SYSTEM
  ibrav = 0, nat = 14, ntyp = 3
/
ATOMIC_SPECIES
Pr 140.91 Pr.upf
Ho 164.93 Ho.upf
Mg 24.30 Mg.upf
ATOMIC_POSITIONS crystal
Pr 0.0651 0.3967 0.7327
Pr 0.2673 0.9349 0.6033
Pr 0.3967 0.7327 0.0651
Pr 0.6033 0.2673 0.9349
Pr 0.7327 0.0651 0.3967
Pr 0.9349 0.6033 0.2673
Ho 0.1330 0.8003 0.4663
Ho 0.1997 0.5337 0.8670
Ho 0.4663 0.1330 0.8003
Ho 0.5337 0.8670 0.1997
Ho 0.8003 0.4663 0.1330
Ho 0.8670 0.1997 0.5337
Mg 0.3333 0.3333 0.3333
Mg 0.6667 0.6667 0.6667
CELL_PARAMETERS angstrom
3.1318 1.8081 14.0798
-3.1318 1.8081 14.0798
0.0000 -3.6162 14.0798
```

Relative energy among the computed polymorphs ... 70 meV/atom

***

VASP calculation (PBE) on a geometry-optimized Sc2CoMo structure. Values from VASP.

```
&SYSTEM
  ibrav = 0, nat = 8, ntyp = 3
/
ATOMIC_SPECIES
Sc 44.96 Sc.upf
Co 58.93 Co.upf
Mo 95.94 Mo.upf
ATOMIC_POSITIONS crystal
Sc 0.0000 0.0000 0.0000
Sc 0.0000 0.5000 0.2175
Sc 0.5000 0.0000 0.7175
Sc 0.5000 0.5000 0.5000
Co 0.0000 0.5000 0.7402
Co 0.5000 0.0000 0.2402
Mo 0.0000 0.0000 0.4470
Mo 0.5000 0.5000 0.9470
CELL_PARAMETERS angstrom
3.1633 0.0000 0.0000
0.0000 4.5722 0.0000
0.0000 0.0000 9.5511
```

Energy ... -61.3 eV for the cell shown

***

VASP calculation (PBE) on a geometry-optimized Tl5AsAu6 structure. Values from VASP.

```
&SYSTEM
  ibrav = 0, nat = 12, ntyp = 3
/
ATOMIC_SPECIES
Tl 204.38 Tl.upf
As 74.92 As.upf
Au 196.97 Au.upf
ATOMIC_POSITIONS crystal
Tl 0.0000 0.0000 0.0000
Tl 0.1397 0.8603 0.5000
Tl 0.2977 0.7023 0.0000
Tl 0.7023 0.2977 0.0000
Tl 0.8603 0.1397 0.5000
As 0.5000 0.5000 0.5000
Au 0.1347 0.4551 0.2955
Au 0.3243 0.3243 0.7927
Au 0.4551 0.1347 0.2955
Au 0.5449 0.8653 0.7045
Au 0.6757 0.6757 0.2073
Au 0.8653 0.5449 0.7045
CELL_PARAMETERS angstrom
3.6440 -6.6387 0.0000
3.6440 6.6387 0.0000
-2.7186 0.0000 6.1087
```

Energy ... -35.9 eV for the cell shown

***

VASP calculation (PBE) on a geometry-optimized PrNd2BiC structure. Values from VASP.

```
&SYSTEM
  ibrav = 0, nat = 5, ntyp = 4
/
ATOMIC_SPECIES
Pr 140.91 Pr.upf
Nd 144.24 Nd.upf
Bi 208.98 Bi.upf
C 12.01 C.upf
ATOMIC_POSITIONS crystal
Pr 0.0000 0.0000 0.0000
Nd 0.0000 0.5000 0.5000
Nd 0.5000 0.0000 0.5000
Bi 0.5000 0.5000 0.0000
C 0.0000 0.0000 0.5000
CELL_PARAMETERS angstrom
5.1264 0.0000 0.0000
0.0000 5.1264 0.0000
0.0000 0.0000 5.1758
```

Energy ... -29.6 eV for the cell shown

***

VASP calculation (PBE) on a geometry-optimized CaTh2IrN4 structure. Values from VASP.

```
&SYSTEM
  ibrav = 0, nat = 16, ntyp = 4
/
ATOMIC_SPECIES
Ca 40.08 Ca.upf
Th 232.04 Th.upf
Ir 192.22 Ir.upf
N 14.01 N.upf
ATOMIC_POSITIONS crystal
Ca 0.1125 0.8875 0.7500
Ca 0.8875 0.1125 0.2500
Th 0.3693 0.6307 0.5494
Th 0.3693 0.6307 0.9506
Th 0.6307 0.3693 0.0494
Th 0.6307 0.3693 0.4506
Ir 0.1510 0.8490 0.2500
Ir 0.8490 0.1510 0.7500
N 0.0000 0.0000 0.0000
N 0.0000 0.0000 0.5000
N 0.2694 0.7306 0.1208
N 0.2694 0.7306 0.3792
N 0.4487 0.5513 0.7500
N 0.5513 0.4487 0.2500
N 0.7306 0.2694 0.6208
N 0.7306 0.2694 0.8792
CELL_PARAMETERS angstrom
1.7518 -6.1372 0.0000
1.7518 6.1372 0.0000
0.0000 0.0000 12.0085
```

Energy ... -131.8 eV for the cell shown

***

VASP calculation (PBE) on a geometry-optimized MgCoAs3 structure. Values from VASP.

```
&SYSTEM
  ibrav = 0, nat = 5, ntyp = 3
/
ATOMIC_SPECIES
Mg 24.30 Mg.upf
Co 58.93 Co.upf
As 74.92 As.upf
ATOMIC_POSITIONS crystal
Mg 0.0000 0.0000 0.0000
Co 0.5000 0.5000 0.5000
As 0.0000 0.5000 0.5000
As 0.5000 0.0000 0.5000
As 0.5000 0.5000 0.0000
CELL_PARAMETERS angstrom
4.6512 0.0000 0.0000
0.0000 4.6512 0.0000
0.0000 0.0000 4.6512
```

Relative energy among the computed polymorphs ... 0 meV/atom

***

VASP calculation (PBE) on a geometry-optimized AlHgTe2N structure. Values from VASP.

```
&SYSTEM
  ibrav = 0, nat = 5, ntyp = 4
/
ATOMIC_SPECIES
Al 26.98 Al.upf
Hg 200.59 Hg.upf
Te 127.60 Te.upf
N 14.01 N.upf
ATOMIC_POSITIONS crystal
Al 0.0000 0.0000 0.0000
Hg 0.5000 0.5000 0.5000
Te 0.0000 0.5000 0.0000
Te 0.5000 0.0000 0.0000
N 0.0000 0.0000 0.5000
CELL_PARAMETERS angstrom
5.8872 0.0000 0.0000
0.0000 5.8872 0.0000
0.0000 0.0000 3.4414
```

Relative energy among the computed polymorphs ... 0 meV/atom